(1)
Material: TiSb2IrI
Method: DFT, GGA-PBE
State: relaxed

As for the space group: P4/mmm, No. 123. The value obtained for the density of states at the Fermi level is 7.8 states/eV/f.u. For the uncorrected formation energy, the calculation gives 0.81 eV/atom. Its energy above the most stable polymorph in this dataset is 0 meV per atom.

The structure in POSCAR format:
```
TiSb2IrI
1.0
5.1183 0.0000 0.0000
0.0000 5.1183 0.0000
0.0000 0.0000 5.5197
I Sb Ir Ti
1 2 1 1
Cartesian
0.0000 0.0000 2.7599
2.5592 0.0000 0.0000
0.0000 2.5592 0.0000
0.0000 0.0000 0.0000
2.5592 2.5592 2.7599
```

***

(2)
Material: TlSb2IrI
Method: DFT, GGA-PBE
State: relaxed

As for the space group: P4/mmm, No. 123. The value obtained for the density of states at the Fermi level is 6.4 states/eV/f.u. For the uncorrected formation energy, the calculation gives 1.72 eV/atom. Its energy above the most stable polymorph in this dataset is 1455 meV per atom.

The structure in POSCAR format:
```
TlSb2IrI
1.0
-2.8388 4.0092 -2.7805
1.4026 -2.4104 -4.9077
-4.8032 -3.2470 0.2220
I Tl Sb Ir
1 1 2 1
Cartesian
-2.4016 -1.6235 0.1110
0.0000 0.0000 0.0000
0.7013 -1.2052 -2.4538
-1.4194 2.0046 -1.3902
-3.1197 -0.8241 -3.7331
```

***

(3)
Material: TlSb2IrI
Method: DFT, GGA-PBE
State: relaxed

As for the space group: P4/mmm, No. 123. The value obtained for the density of states at the Fermi level is 5.5 states/eV/f.u. For the uncorrected formation energy, the calculation gives 0.27 eV/atom. Its energy above the most stable polymorph in this dataset is 0 meV per atom.

The structure in POSCAR format:
```
TlSb2IrI
1.0
-0.0318 -0.4295 5.1415
5.1087 -0.7215 -0.0287
0.8418 5.9406 0.5015
I Ir Sb Tl
1 1 2 1
Cartesian
0.4209 2.9703 0.2507
0.0000 0.0000 0.0000
2.5544 -0.3608 -0.0144
-0.0159 -0.2148 2.5708
2.9594 2.3948 2.8071
```

***

(4)
Material: VSb2IrI
Method: DFT, GGA-PBE
State: relaxed

As for the space group: P4/mmm, No. 123. The value obtained for the density of states at the Fermi level is 6.5 states/eV/f.u. For the uncorrected formation energy, the calculation gives 1.15 eV/atom. Its energy above the most stable polymorph in this dataset is 28 meV per atom.

The structure in POSCAR format:
```
VSb2IrI
1.0
-2.9627 1.6358 3.7834
1.7266 -3.7384 2.9683
3.6768 2.9661 1.5968
Sb Ir V I
2 1 1 1
Cartesian
0.8633 -1.8692 1.4842
-1.4813 0.8179 1.8917
1.2204 0.4317 4.1743
0.0000 0.0000 0.0000
1.8384 1.4830 0.7984
```

***

(5)
Material: VSb2IrI
Method: DFT, GGA-PBE
State: relaxed

As for the space group: P4/mmm, No. 123. The value obtained for the density of states at the Fermi level is 6.7 states/eV/f.u. For the uncorrected formation energy, the calculation gives 1.12 eV/atom. Its energy above the most stable polymorph in this dataset is 0 meV per atom.

The structure in POSCAR format:
```
VSb2IrI
1.0
5.0950 0.0000 0.0000
0.0000 5.0950 0.0000
0.0000 0.0000 5.5999
Ir Sb V I
1 2 1 1
Cartesian
0.0000 0.0000 0.0000
2.5475 0.0000 0.0000
0.0000 2.5475 0.0000
2.5475 2.5475 2.8000
0.0000 0.0000 2.8000
```

***

(6)
Material: Sb2IrWI
Method: DFT, GGA-PBE
State: relaxed

As for the space group: P4/mmm, No. 123. The value obtained for the density of states at the Fermi level is 4.9 states/eV/f.u. For the uncorrected formation energy, the calculation gives 1.48 eV/atom. Its energy above the most stable polymorph in this dataset is 0 meV per atom.

The structure in POSCAR format:
```
Sb2IrWI
1.0
5.0979 0.0000 0.0000
0.0000 5.0979 0.0000
0.0000 0.0000 5.4642
Sb I W Ir
2 1 1 1
Cartesian
0.0000 2.5489 0.0000
2.5489 0.0000 0.0000
0.0000 0.0000 2.7321
2.5489 2.5489 2.7321
0.0000 0.0000 0.0000
```